1.
This record from the Alexandria database describes an optimized crystal structure of YCr2Hg. The functional is GGA-PBE.

Properties
ΔE to the lowest computed polymorph in eV per formula unit: 2.00
Symmetry: R-3m
Formation energy from the elements in eV/atom: 0.67

Cell: 9.414 9.414 9.414 Å, 20.34 20.34 20.34°
Positions (direct):
Y (0.000, 0.000, 0.000)
Cr (0.245, 0.245, 0.245)
Cr (0.755, 0.755, 0.755)
Hg (0.500, 0.500, 0.500)



2.
This record from the Alexandria database describes an optimized crystal structure of LaBeRe2. The functional is GGA-PBE.

Properties
Symmetry: Cmmm
Formation energy from the elements in eV/atom: 0.55

Cell: 2.831 2.831 8.531 Å, 90.00 90.00 107.82°
Positions (direct):
La (0.000, 0.000, 0.000)
Be (0.000, 0.000, 0.500)
Re (0.500, 0.500, 0.310)
Re (0.500, 0.500, 0.690)



The following density values (in g/cm³) correspond, in order, to the records above: 7.41, 13.28.